Material: NaCrIO2
Method: DFT, PBEsol
State: relaxed

final energy: -4.176 eV per atom
total magnetization: 6.86 μB per cell

Lattice parameters (Å, degrees): 4.1583 4.1583 5.7939 90.00 90.00 90.00
Fractional coordinates of all 5 atoms:
Na1 0.0000 0.0000 0.0000
Cr1 0.5000 0.5000 0.5000
I1 0.0000 0.0000 0.5000
O1 0.0000 0.5000 0.0000
O2 0.5000 0.0000 0.0000